Entry 1:
SiH3Se after structural relaxation. Source: Alexandria, functional PBE-GGA.

```
SiH3Se
1.0
5.0647 0.9312 0.0936
1.4793 5.7367 1.8941
0.2517 1.5319 6.6209
Si H Se
2 6 2
Direct
0.7400 0.7466 0.1868
0.2721 0.6102 0.7488
0.4413 0.7742 0.6944
0.2680 0.4427 0.0018
0.4740 0.9065 0.2454
0.9766 0.5518 0.3875
0.9800 0.7805 0.6101
0.6852 0.6006 0.0890
0.5032 0.2954 0.6304
0.9158 0.0554 0.9136
```

## Properties
ΔE to the lowest computed polymorph ... 0 meV per atom
Magnetic moment ... 0.0 μB/f.u.
SG ... P1 (1)



Entry 2:
KLaTe2Cl after structural relaxation. Source: Alexandria, functional PBE-GGA.

```
KLaTe2Cl
1.0
-1.1042 -1.3813 5.7120
9.5540 -12.6666 -1.2162
4.6525 3.3452 1.7083
Cl Te K La
1 2 1 1
Direct
0.5000 0.5000 0.5000
0.0000 0.0000 0.5000
0.5000 0.0000 0.0000
0.0000 0.5000 0.0000
0.0000 0.0000 0.0000
```

## Properties
Formation energy from raw total energies ... -756.9 meV per atom
Magnetic moment ... 0.0 μB/f.u.
SG ... P4/mmm (123)



What is the formula in the second record? KLaTe2Cl